(1)
The following is a GGA-PBE calculation of a geometry-optimized La6Au2NO structure, from the Alexandria database.

**Formation energy (no corrections)**: -115 kJ per mole of atoms
**Calculated volume**: 514.7 Å³/cell
**Crystal system**: monoclinic
**Theoretical density**: 8.11 g cm⁻³
**Energy**: -6.137 eV per atom

Lattice parameters (Å, degrees): 6.8990 7.3496 12.2572 90.00 124.10 90.00
Closest atoms and distances in Å follow each position.
Fractional positions:
1 La 0.1469 0.0227 0.2466  1 N 2.60, 1 O 2.67
2 La 0.1469 0.4773 0.7466  1 N 2.60, 1 O 2.67
3 La 0.2420 0.7083 0.0463  1 N 2.58, 1 O 2.64
4 La 0.2420 0.7917 0.5463  1 N 2.58, 1 O 2.64
5 La 0.3465 0.2036 0.0474  1 N 2.59, 1 O 2.63
6 La 0.3465 0.2964 0.5474  1 N 2.59, 1 O 2.63
7 La 0.6535 0.7036 0.4526  1 N 2.59, 1 O 2.63
8 La 0.6535 0.7964 0.9526  1 N 2.59, 1 O 2.63
9 La 0.7580 0.2083 0.4537  1 N 2.58, 1 O 2.64
10 La 0.7580 0.2917 0.9537  1 N 2.58, 1 O 2.64
11 La 0.8531 0.5227 0.2534  1 N 2.60, 1 O 2.67
12 La 0.8531 0.9773 0.7534  1 N 2.60, 1 O 2.67
13 Au 0.2909 0.0701 0.7507  6 La 3.08-3.20
14 Au 0.2909 0.4299 0.2507  6 La 3.08-3.20
15 Au 0.7091 0.5701 0.7493  6 La 3.08-3.20
16 Au 0.7091 0.9299 0.2493  6 La 3.08-3.20
17 N 0.0000 0.0000 0.0000  6 La 2.58-2.60
18 N 0.0000 0.5000 0.5000  6 La 2.58-2.60
19 O 0.5000 0.0000 0.5000  6 La 2.63-2.67
20 O 0.5000 0.5000 0.0000  6 La 2.63-2.67


(2)
The following is a GGA-PBE calculation of a geometry-optimized LaAuN2O structure, from the Alexandria database.

**Formation energy (no corrections)**: 81 kJ per mole of atoms
**Calculated volume**: 105.4 Å³/cell
**Crystal system**: tetragonal
**Theoretical density**: 5.98 g cm⁻³
**Energy**: -5.119 eV per atom

Lattice parameters (Å, degrees): 4.9374 4.9374 4.3256 90.00 90.00 90.00
Closest atoms and distances in Å follow each position.
Fractional positions:
1 La 0.0000 0.0000 0.0000  2 O 2.16
2 Au 0.5000 0.5000 0.5000  8 N 3.28, 4 O 3.49
3 N 0.0000 0.5000 0.0000  2 La 2.47
4 N 0.5000 0.0000 0.0000  2 La 2.47
5 O 0.0000 0.0000 0.5000  2 La 2.16


(3)
The following is a GGA-PBE calculation of a geometry-optimized LaAuN2O structure, from the Alexandria database.

**Formation energy (no corrections)**: 8 kJ per mole of atoms
**Calculated volume**: 70.2 Å³/cell
**Crystal system**: tetragonal
**Theoretical density**: 8.99 g cm⁻³
**Energy**: -5.881 eV per atom

Lattice parameters (Å, degrees): 4.0799 4.0799 4.2145 90.00 90.00 90.00
Closest atoms and distances in Å follow each position.
Fractional positions:
1 La 0.0000 0.0000 0.0000  4 O 2.88, 8 N 2.93
2 Au 0.5000 0.5000 0.5000  4 N 2.04, 2 O 2.11
3 N 0.0000 0.5000 0.5000  2 Au 2.04
4 N 0.5000 0.0000 0.5000  2 Au 2.04
5 O 0.5000 0.5000 0.0000  2 Au 2.11


(4)
The following is a GGA-PBE calculation of a geometry-optimized La6OsAu2N structure, from the Alexandria database.

**Formation energy (no corrections)**: -61 kJ per mole of atoms
**Calculated volume**: 565.8 Å³/cell
**Crystal system**: monoclinic
**Theoretical density**: 8.40 g cm⁻³
**Energy**: -6.198 eV per atom

Lattice parameters (Å, degrees): 6.9968 7.6899 12.6191 90.00 123.56 90.00
Closest atoms and distances in Å follow each position.
Fractional positions:
1 La 0.1237 0.0264 0.2399  1 N 2.66, 1 Os 2.86
2 La 0.1237 0.4736 0.7399  1 N 2.66, 1 Os 2.86
3 La 0.2235 0.7003 0.0548  1 N 2.65, 1 Os 2.84
4 La 0.2235 0.7997 0.5548  1 N 2.65, 1 Os 2.84
5 La 0.3631 0.1804 0.0581  1 N 2.62, 1 Os 2.88
6 La 0.3631 0.3196 0.5581  1 N 2.62, 1 Os 2.88
7 La 0.6369 0.6804 0.4419  1 N 2.62, 1 Os 2.88
8 La 0.6369 0.8196 0.9419  1 N 2.62, 1 Os 2.88
9 La 0.7765 0.2003 0.4452  1 N 2.65, 1 Os 2.84
10 La 0.7765 0.2997 0.9452  1 N 2.65, 1 Os 2.84
11 La 0.8763 0.5264 0.2601  1 N 2.66, 1 Os 2.86
12 La 0.8763 0.9736 0.7601  1 N 2.66, 1 Os 2.86
13 Os 0.5000 0.0000 0.5000  6 La 2.84-2.88
14 Os 0.5000 0.5000 0.0000  6 La 2.84-2.88
15 Au 0.2914 0.0955 0.7446  6 La 3.12-3.30
16 Au 0.2914 0.4045 0.2446  6 La 3.12-3.30
17 Au 0.7086 0.5955 0.7554  6 La 3.12-3.30
18 Au 0.7086 0.9045 0.2554  6 La 3.12-3.30
19 N 0.0000 0.0000 0.0000  6 La 2.62-2.66
20 N 0.0000 0.5000 0.5000  6 La 2.62-2.66


(5)
The following is a GGA-PBE calculation of a geometry-optimized La6PAu2N structure, from the Alexandria database.

**Formation energy (no corrections)**: -87 kJ per mole of atoms
**Calculated volume**: 569.7 Å³/cell
**Crystal system**: monoclinic
**Theoretical density**: 7.42 g cm⁻³
**Energy**: -5.891 eV per atom

Lattice parameters (Å, degrees): 7.0274 7.6538 12.6657 90.00 123.26 90.00
Closest atoms and distances in Å follow each position.
Fractional positions:
1 La 0.1070 0.2076 0.4392  1 N 2.61, 1 P 2.90
2 La 0.1070 0.2924 0.9392  1 N 2.61, 1 P 2.90
3 La 0.2436 0.6761 0.4434  1 N 2.57
4 La 0.2436 0.8239 0.9434  1 N 2.57
5 La 0.3608 0.0367 0.2387  1 N 2.69, 1 P 2.91
6 La 0.3608 0.4633 0.7387  1 N 2.69, 1 P 2.91
7 La 0.6392 0.5367 0.2613  1 N 2.69, 1 P 2.91
8 La 0.6392 0.9633 0.7613  1 N 2.69, 1 P 2.91
9 La 0.7564 0.1761 0.0566  1 N 2.57
10 La 0.7564 0.3239 0.5566  1 N 2.57
11 La 0.8930 0.7076 0.0608  1 N 2.61, 1 P 2.90
12 La 0.8930 0.7924 0.5608  1 N 2.61, 1 P 2.90
13 P 0.5000 0.0000 0.5000  6 La 2.90-2.91
14 P 0.5000 0.5000 0.0000  6 La 2.90-2.91
15 Au 0.1988 0.0896 0.7449  6 La 3.10-3.26
16 Au 0.1988 0.4104 0.2449  6 La 3.10-3.26
17 Au 0.8012 0.5896 0.7551  6 La 3.10-3.26
18 Au 0.8012 0.9104 0.2551  6 La 3.10-3.26
19 N 0.0000 0.0000 0.0000  6 La 2.57-2.69
20 N 0.0000 0.5000 0.5000  6 La 2.57-2.69


(6)
The following is a GGA-PBE calculation of a geometry-optimized La7Pb2AuN2 structure, from the Alexandria database.

**Formation energy (no corrections)**: -81 kJ per mole of atoms
**Calculated volume**: 343.1 Å³/cell
**Crystal system**: monoclinic
**Theoretical density**: 7.80 g cm⁻³
**Energy**: -5.990 eV per atom

Lattice parameters (Å, degrees): 5.0821 5.0821 13.7549 100.58 100.58 90.01
Closest atoms and distances in Å follow each position.
Fractional positions:
1 La 0.0000 0.0000 0.0000  2 N 2.63
2 La 0.0918 0.5915 0.1818  2 N 2.55
3 La 0.1933 0.1933 0.3863  1 N 2.50
4 La 0.4085 0.9082 0.8182  2 N 2.55
5 La 0.5915 0.0918 0.1818  2 N 2.55
6 La 0.8067 0.8067 0.6137  1 N 2.50
7 La 0.9082 0.4085 0.8182  2 N 2.55
8 Pb 0.3211 0.3211 0.6432  9 La 3.41-3.62
9 Pb 0.6789 0.6789 0.3568  9 La 3.41-3.62
10 Au 0.5000 0.5000 0.0000  12 La 3.50-3.59
11 N 0.0997 0.0997 0.1982  6 La 2.50-2.63
12 N 0.9003 0.9003 0.8018  6 La 2.50-2.63